SrCr2CF PBE+U optimized geometry; density of states at the Fermi level = 0.263 states/eV per atom; magnetic moment = 8.0 μB/f.u.; DFT total energy = -6.017 eV/atom
1.0
4.035 0.000 0.000
0.000 6.005 0.000
0.000 0.000 4.035
C Cr Sr F
1 2 1 1
Direct
0.000 0.000 0.000
0.500 0.000 0.000
0.000 0.000 0.500
0.000 0.500 0.000
0.500 0.500 0.500